[1]
Computed, not measured: crystalline KEuW2O6 at its relaxed geometry at the GGA+U level of DFT.

a = 5.7378 Å, b = 5.7378 Å, c = 5.7378 Å
α = 60.00°, β = 60.00°, γ = 60.00°
Site moments in Bohr magnetons follow the coordinates.
Fractional positions:
1 K 0.5000 0.5000 0.5000  0.00
2 Eu 0.0000 0.0000 0.0000  6.81
3 W 0.2500 0.2500 0.2500  1.51
4 W 0.7500 0.7500 0.7500  1.51
5 O 0.5000 0.0000 0.0000  -0.04
6 O 0.0000 0.5000 0.5000  -0.04
7 O 0.5000 0.0000 0.5000  -0.04
8 O 0.0000 0.5000 0.0000  -0.04
9 O 0.0000 0.0000 0.5000  -0.04
10 O 0.5000 0.5000 0.0000  -0.04

Values from the calculation:
* total magnetic moment: 10.0 Bohr magnetons per cell
* E_tot: -0.5646 Ry/atom


[2]
Computed, not measured: crystalline KEuW4O12 at its relaxed geometry at the GGA+U level of DFT.

a = 5.6097 Å, b = 5.6097 Å, c = 7.9048 Å
α = 90.00°, β = 90.00°, γ = 90.31°
Site moments in Bohr magnetons follow the coordinates.
Fractional positions:
1 K 0.9953 0.0047 0.5000  0.00
2 Eu 0.5002 0.4998 0.0000  6.67
3 W 0.0010 0.4996 0.7487  0.88
4 W 0.0010 0.4996 0.2513  0.88
5 W 0.5004 0.9990 0.2513  0.88
6 W 0.5004 0.9990 0.7487  0.88
7 O 0.2615 0.2618 0.7583  -0.03
8 O 0.7382 0.7385 0.7583  -0.03
9 O 0.7382 0.7385 0.2417  -0.03
10 O 0.2615 0.2618 0.2417  -0.03
11 O 0.7469 0.2531 0.7664  -0.04
12 O 0.2507 0.7493 0.7465  -0.04
13 O 0.2507 0.7493 0.2535  -0.04
14 O 0.7469 0.2531 0.2336  -0.04
15 O 0.0097 0.5031 0.0000  -0.04
16 O 0.9922 0.5003 0.5000  -0.05
17 O 0.4969 0.9903 0.0000  -0.04
18 O 0.4997 0.0078 0.5000  -0.05

Values from the calculation:
* total magnetic moment: 10.0 Bohr magnetons per cell
* E_tot: -0.5635 Ry/atom


Please write out number 2 again, unchanged.
Computed, not measured: crystalline KEuW4O12 at its relaxed geometry at the GGA+U level of DFT.

a = 5.6097 Å, b = 5.6097 Å, c = 7.9048 Å
α = 90.00°, β = 90.00°, γ = 90.31°
Site moments in Bohr magnetons follow the coordinates.
Fractional positions:
1 K 0.9953 0.0047 0.5000  0.00
2 Eu 0.5002 0.4998 0.0000  6.67
3 W 0.0010 0.4996 0.7487  0.88
4 W 0.0010 0.4996 0.2513  0.88
5 W 0.5004 0.9990 0.2513  0.88
6 W 0.5004 0.9990 0.7487  0.88
7 O 0.2615 0.2618 0.7583  -0.03
8 O 0.7382 0.7385 0.7583  -0.03
9 O 0.7382 0.7385 0.2417  -0.03
10 O 0.2615 0.2618 0.2417  -0.03
11 O 0.7469 0.2531 0.7664  -0.04
12 O 0.2507 0.7493 0.7465  -0.04
13 O 0.2507 0.7493 0.2535  -0.04
14 O 0.7469 0.2531 0.2336  -0.04
15 O 0.0097 0.5031 0.0000  -0.04
16 O 0.9922 0.5003 0.5000  -0.05
17 O 0.4969 0.9903 0.0000  -0.04
18 O 0.4997 0.0078 0.5000  -0.05

Values from the calculation:
* total magnetic moment: 10.0 Bohr magnetons per cell
* E_tot: -0.5635 Ry/atom